The following is a DFT calculation (PBE+U) of a relaxed Pd3WO crystal.

The structure belongs to space group Pm-3m (No. 221); the cell edges are 4.264, 4.264 and 4.264 Å and the angles 90.00°, 90.00° and 90.00°. The inequivalent atoms are Pd at (0.000, 0.000, 0.500), W at (0.500, 0.500, 0.500) and O at (0.000, 0.000, 0.000).

For the relative energy among the computed polymorphs, the calculation gives 0.0000 eV/atom.